(1)
VASP calculation (PBE) on Er2ThIn after structural relaxation.

abc: 11.1185 11.1185 11.1185
angles: 18.31 18.31 18.31
Closest atoms and distances in Å follow each position.
Fractional coordinates of all 4 atoms:
Er (0.0000, 0.0000, 0.0000)  3 In 3.26, 6 Er 3.54, 3 Th 3.56
Er (0.1780, 0.1780, 0.1780)  3 In 3.27, 6 Er 3.54, 3 Th 3.57
Th (0.7556, 0.7556, 0.7556)  6 Th 3.54, 6 Er 3.56-3.57
In (0.5893, 0.5893, 0.5893)  6 Er 3.26-3.27, 6 In 3.54

Values from the calculation:
**ΔE to the lowest computed polymorph**: 49 kJ/mol of formula units
**Volume**: 29.63 A^3/atom
**DFT formation energy**: -119 meV per atom
**Total energy**: -4.940 eV per atom
**Magnetization**: 0.0 μB per formula unit

***

(2)
VASP calculation (PBE) on CeMgNi after structural relaxation.

abc: 6.4636 6.4636 6.4636
angles: 151.78 151.78 40.33
Closest atoms and distances in Å follow each position.
Fractional coordinates of all 3 atoms:
Ce (0.0000, 0.0000, 0.0000)  4 Ni 2.83, 4 Ce 3.15
Mg (0.7276, 0.7276, 0.0000)  4 Ni 2.72
Ni (0.3563, 0.3563, 0.0000)  4 Mg 2.72, 4 Ce 2.83

Values from the calculation:
**Volume**: 20.08 A^3/atom
**DFT formation energy**: -154 meV per atom
**Total energy**: -4.591 eV per atom
**Magnetization**: 0.5 μB per formula unit

***

(3)
VASP calculation (PBE) on MgFeRu after structural relaxation.

abc: 2.7440 4.0099 7.9887
angles: 90.00 99.77 90.00
Closest atoms and distances in Å follow each position.
Fractional coordinates of all 6 atoms:
Mg (0.1981, 0.2500, 0.3969)  1 Fe 2.57, 2 Mg 2.74, 2 Ru 2.88
Mg (0.8019, 0.7500, 0.6031)  1 Fe 2.57, 2 Mg 2.74, 2 Ru 2.88
Fe (0.0344, 0.2500, 0.0703)  2 Fe 2.29, 2 Ru 2.53
Fe (0.9656, 0.7500, 0.9297)  2 Fe 2.29, 2 Ru 2.53
Ru (0.4007, 0.2500, 0.7997)  6 Fe 2.53-2.64, 2 Ru 2.74
Ru (0.5993, 0.7500, 0.2003)  6 Fe 2.53-2.64, 2 Ru 2.74

Values from the calculation:
**ΔE to the lowest computed polymorph**: 37 kJ/mol of formula units
**Volume**: 14.44 A^3/atom
**DFT formation energy**: 183 meV per atom
**Total energy**: -6.261 eV per atom
**Magnetization**: 1.3 μB per formula unit